No. 1
The following is a DFT calculation (SCAN) of a crystal of Zr2MoRu relaxed with PBEsol.

abc: 2.965 4.536 5.283
angles: 90.00 102.56 90.00
Atoms (fractional coordinates):
Zr (0.000, 0.000, 0.000)
Zr (0.273, 0.500, 0.728)
Mo (0.758, 0.500, 0.243)
Ru (0.517, 0.000, 0.487)

Computed properties:
Final energy   -32.8849 eV/atom
Calculated formation energy   -0.1076 eV per atom
V   69 Å³/f.u.

No. 2
The following is a DFT calculation (SCAN) of a crystal of ZrMoRu2 relaxed with PBEsol.

abc: 2.991 2.991 7.040
angles: 90.00 90.00 90.00
Atoms (fractional coordinates):
Zr (0.000, 0.000, 0.000)
Mo (0.000, 0.000, 0.500)
Ru (0.500, 0.500, 0.278)
Ru (0.500, 0.500, 0.722)

Computed properties:
Final energy   -33.9968 eV/atom
Calculated formation energy   -0.1876 eV per atom
V   63 Å³/f.u.
Excess energy over the best structure of this formula in the dataset   0.00 kJ/mol of atoms

No. 3
The following is a DFT calculation (SCAN) of a crystal of Mo3S4 relaxed with PBEsol.

abc: 6.383 6.383 6.383
angles: 91.12 91.12 91.12
Atoms (fractional coordinates):
Mo (0.211, 0.552, 0.406)
Mo (0.406, 0.211, 0.552)
Mo (0.448, 0.594, 0.789)
Mo (0.552, 0.406, 0.211)
Mo (0.594, 0.789, 0.448)
Mo (0.789, 0.448, 0.594)
S (0.132, 0.387, 0.736)
S (0.220, 0.220, 0.220)
S (0.264, 0.868, 0.613)
S (0.387, 0.736, 0.132)
S (0.613, 0.264, 0.868)
S (0.736, 0.132, 0.387)
S (0.780, 0.780, 0.780)
S (0.868, 0.613, 0.264)

Computed properties:
Final energy   -21.1932 eV/atom
V   130 Å³/f.u.
Formation energy (no corrections)   -0.74 eV/atom

No. 4
The following is a DFT calculation (SCAN) of a crystal of Mo15S19 relaxed with PBEsol.

abc: 9.116 9.116 18.919
angles: 90.00 90.00 120.00
Atoms (fractional coordinates):
Mo (0.018, 0.178, 0.063)
Mo (0.018, 0.178, 0.437)
Mo (0.156, 0.505, 0.250)
Mo (0.161, 0.982, 0.063)
Mo (0.161, 0.982, 0.437)
Mo (0.172, 0.685, 0.130)
Mo (0.172, 0.685, 0.370)
Mo (0.178, 0.161, 0.563)
Mo (0.178, 0.161, 0.937)
Mo (0.315, 0.487, 0.130)
Mo (0.315, 0.487, 0.370)
Mo (0.348, 0.844, 0.250)
Mo (0.487, 0.172, 0.630)
Mo (0.487, 0.172, 0.870)
Mo (0.495, 0.652, 0.250)
Mo (0.505, 0.348, 0.750)
Mo (0.513, 0.828, 0.130)
Mo (0.513, 0.828, 0.370)
Mo (0.652, 0.156, 0.750)
Mo (0.685, 0.513, 0.630)
Mo (0.685, 0.513, 0.870)
Mo (0.822, 0.839, 0.063)
Mo (0.822, 0.839, 0.437)
Mo (0.828, 0.315, 0.630)
Mo (0.828, 0.315, 0.870)
Mo (0.839, 0.018, 0.563)
Mo (0.839, 0.018, 0.937)
Mo (0.844, 0.495, 0.750)
Mo (0.982, 0.822, 0.563)
Mo (0.982, 0.822, 0.937)
S (0.000, 0.000, 0.160)
S (0.000, 0.000, 0.340)
S (0.000, 0.000, 0.660)
S (0.000, 0.000, 0.840)
S (0.013, 0.381, 0.143)
S (0.013, 0.381, 0.357)
S (0.031, 0.318, 0.547)
S (0.031, 0.318, 0.953)
S (0.042, 0.698, 0.250)
S (0.287, 0.969, 0.547)
S (0.287, 0.969, 0.953)
S (0.302, 0.344, 0.250)
S (0.318, 0.287, 0.047)
S (0.318, 0.287, 0.453)
S (0.333, 0.667, 0.033)
S (0.333, 0.667, 0.467)
S (0.344, 0.042, 0.750)
S (0.368, 0.987, 0.143)
S (0.368, 0.987, 0.357)
S (0.381, 0.368, 0.643)
S (0.381, 0.368, 0.857)
S (0.619, 0.632, 0.143)
S (0.619, 0.632, 0.357)
S (0.632, 0.013, 0.643)
S (0.632, 0.013, 0.857)
S (0.656, 0.958, 0.250)
S (0.667, 0.333, 0.533)
S (0.667, 0.333, 0.967)
S (0.682, 0.713, 0.547)
S (0.682, 0.713, 0.953)
S (0.698, 0.656, 0.750)
S (0.713, 0.031, 0.047)
S (0.713, 0.031, 0.453)
S (0.958, 0.302, 0.750)
S (0.969, 0.682, 0.047)
S (0.969, 0.682, 0.453)
S (0.987, 0.619, 0.643)
S (0.987, 0.619, 0.857)

Computed properties:
Final energy   -21.4716 eV/atom
V   681 Å³/f.u.
Formation energy (no corrections)   -0.70 eV/atom

No. 5
The following is a DFT calculation (SCAN) of a crystal of SbTe2MoS relaxed with PBEsol.

abc: 5.137 5.137 4.990
angles: 90.00 90.00 90.00
Atoms (fractional coordinates):
Sb (0.000, 0.000, 0.000)
Te (0.000, 0.500, 0.500)
Te (0.500, 0.000, 0.500)
Mo (0.500, 0.500, 0.000)
S (0.000, 0.000, 0.500)

Computed properties:
Final energy   -30.2177 eV/atom
V   132 Å³/f.u.
Formation energy (no corrections)   1.04 eV/atom

No. 6
The following is a DFT calculation (SCAN) of a crystal of Sc2MoS relaxed with PBEsol.

abc: 9.077 9.077 9.077
angles: 20.65 20.65 20.65
Atoms (fractional coordinates):
Sc (0.090, 0.090, 0.090)
Sc (0.910, 0.910, 0.910)
Mo (0.500, 0.500, 0.500)
S (0.000, 0.000, 0.000)

Computed properties:
Final energy   -18.2394 eV/atom
V   81 Å³/f.u.
Formation energy (no corrections)   0.01 eV/atom

No. 7
The following is a DFT calculation (SCAN) of a crystal of ScTl2Mo15S19 relaxed with PBEsol.

abc: 9.256 18.666 9.356
angles: 90.00 119.38 90.00
Atoms (fractional coordinates):
Sc (0.164, 0.250, 0.188)
Sc (0.836, 0.750, 0.812)
Tl (0.342, 0.125, 0.683)
Tl (0.342, 0.375, 0.683)
Tl (0.658, 0.625, 0.317)
Tl (0.658, 0.875, 0.317)
Mo (0.015, 0.560, 0.173)
Mo (0.015, 0.940, 0.173)
Mo (0.152, 0.750, 0.501)
Mo (0.159, 0.558, 0.983)
Mo (0.159, 0.942, 0.983)
Mo (0.173, 0.061, 0.159)
Mo (0.173, 0.439, 0.159)
Mo (0.176, 0.629, 0.679)
Mo (0.176, 0.871, 0.679)
Mo (0.313, 0.630, 0.489)
Mo (0.313, 0.870, 0.489)
Mo (0.341, 0.750, 0.834)
Mo (0.481, 0.750, 0.643)
Mo (0.498, 0.130, 0.186)
Mo (0.498, 0.370, 0.186)
Mo (0.502, 0.630, 0.814)
Mo (0.502, 0.870, 0.814)
Mo (0.519, 0.250, 0.357)
Mo (0.659, 0.250, 0.166)
Mo (0.687, 0.130, 0.511)
Mo (0.687, 0.370, 0.511)
Mo (0.824, 0.129, 0.321)
Mo (0.824, 0.371, 0.321)
Mo (0.827, 0.561, 0.841)
Mo (0.827, 0.939, 0.841)
Mo (0.841, 0.058, 0.017)
Mo (0.841, 0.442, 0.017)
Mo (0.848, 0.250, 0.499)
Mo (0.985, 0.060, 0.827)
Mo (0.985, 0.440, 0.827)
S (0.011, 0.658, 0.008)
S (0.011, 0.842, 0.008)
S (0.014, 0.639, 0.383)
S (0.014, 0.861, 0.383)
S (0.032, 0.050, 0.315)
S (0.032, 0.450, 0.315)
S (0.038, 0.750, 0.690)
S (0.285, 0.053, 0.969)
S (0.285, 0.447, 0.969)
S (0.298, 0.750, 0.346)
S (0.315, 0.549, 0.280)
S (0.315, 0.951, 0.280)
S (0.332, 0.532, 0.661)
S (0.332, 0.968, 0.661)
S (0.355, 0.250, 0.055)
S (0.364, 0.640, 0.977)
S (0.364, 0.860, 0.977)
S (0.381, 0.141, 0.374)
S (0.381, 0.359, 0.374)
S (0.619, 0.641, 0.626)
S (0.619, 0.859, 0.626)
S (0.636, 0.140, 0.023)
S (0.636, 0.360, 0.023)
S (0.645, 0.750, 0.945)
S (0.668, 0.032, 0.339)
S (0.668, 0.468, 0.339)
S (0.685, 0.049, 0.720)
S (0.685, 0.451, 0.720)
S (0.702, 0.250, 0.654)
S (0.715, 0.553, 0.031)
S (0.715, 0.947, 0.031)
S (0.962, 0.250, 0.310)
S (0.968, 0.550, 0.685)
S (0.968, 0.950, 0.685)
S (0.986, 0.139, 0.617)
S (0.986, 0.361, 0.617)
S (0.989, 0.158, 0.992)
S (0.989, 0.342, 0.992)

Computed properties:
Final energy   -24.2069 eV/atom
V   704 Å³/f.u.
Formation energy (no corrections)   -0.82 eV/atom

No. 8
The following is a DFT calculation (SCAN) of a crystal of Mo2Se3S relaxed with PBEsol.

abc: 3.234 3.234 25.811
angles: 90.00 90.00 120.00
Atoms (fractional coordinates):
Mo (0.000, 0.000, 0.000)
Mo (0.000, 0.000, 0.492)
Mo (0.667, 0.333, 0.246)
Mo (0.667, 0.333, 0.747)
Se (0.000, 0.000, 0.682)
Se (0.000, 0.000, 0.812)
Se (0.667, 0.333, 0.065)
Se (0.667, 0.333, 0.427)
Se (0.667, 0.333, 0.557)
Se (0.667, 0.333, 0.935)
S (0.000, 0.000, 0.186)
S (0.000, 0.000, 0.305)

Computed properties:
Final energy   -24.0206 eV/atom
V   117 Å³/f.u.
Formation energy (no corrections)   -0.75 eV/atom

No. 9
The following is a DFT calculation (SCAN) of a crystal of Mo3Se2S4 relaxed with PBEsol.

abc: 3.178 3.178 19.895
angles: 90.00 90.00 120.00
Atoms (fractional coordinates):
Mo (0.000, 0.000, 0.000)
Mo (0.333, 0.667, 0.321)
Mo (0.333, 0.667, 0.679)
Se (0.333, 0.667, 0.085)
Se (0.333, 0.667, 0.915)
S (0.000, 0.000, 0.243)
S (0.000, 0.000, 0.398)
S (0.000, 0.000, 0.602)
S (0.000, 0.000, 0.757)

Computed properties:
Final energy   -21.2125 eV/atom
V   174 Å³/f.u.
Formation energy (no corrections)   -0.84 eV/atom

No. 10
The following is a DFT calculation (SCAN) of a crystal of MoSeS relaxed with PBEsol.

abc: 3.201 3.201 12.719
angles: 90.00 90.00 120.00
Atoms (fractional coordinates):
Mo (0.000, 0.000, 0.000)
Mo (0.333, 0.667, 0.500)
Se (0.333, 0.667, 0.133)
Se (0.333, 0.667, 0.867)
S (0.000, 0.000, 0.379)
S (0.000, 0.000, 0.621)

Computed properties:
Final energy   -22.3352 eV/atom
V   56 Å³/f.u.
Formation energy (no corrections)   -0.80 eV/atom

No. 11
The following is a DFT calculation (SCAN) of a crystal of MoSeS relaxed with PBEsol.

abc: 3.201 3.201 25.521
angles: 90.00 90.00 120.00
Atoms (fractional coordinates):
Mo (0.333, 0.667, 0.121)
Mo (0.333, 0.667, 0.630)
Mo (0.667, 0.333, 0.370)
Mo (0.667, 0.333, 0.879)
Se (0.333, 0.667, 0.304)
Se (0.333, 0.667, 0.436)
Se (0.667, 0.333, 0.564)
Se (0.667, 0.333, 0.696)
S (0.333, 0.667, 0.819)
S (0.333, 0.667, 0.940)
S (0.667, 0.333, 0.060)
S (0.667, 0.333, 0.181)

Computed properties:
Final energy   -22.3354 eV/atom
V   57 Å³/f.u.
Formation energy (no corrections)   -0.80 eV/atom

No. 12
The following is a DFT calculation (SCAN) of a crystal of Mo3Se2S2 relaxed with PBEsol.

abc: 6.454 6.464 6.491
angles: 91.94 91.43 92.67
Atoms (fractional coordinates):
Mo (0.000, 0.000, 0.000)
Mo (0.040, 0.231, 0.376)
Mo (0.135, 0.666, 0.196)
Mo (0.182, 0.908, 0.565)
Mo (0.382, 0.053, 0.233)
Mo (0.795, 0.860, 0.337)
Se (0.343, 0.830, 0.909)
Se (0.387, 0.255, 0.574)
Se (0.792, 0.654, 0.998)
Se (0.957, 0.577, 0.539)
S (0.206, 0.320, 0.057)
S (0.449, 0.729, 0.392)
S (0.730, 0.180, 0.171)
S (0.859, 0.060, 0.654)

Computed properties:
Final energy   -24.0844 eV/atom
V   135 Å³/f.u.
Formation energy (no corrections)   -0.65 eV/atom